(1)
Density functional theory data (GGA-PBE) for a geometry-optimized MgCuNi2N structure.

Lattice parameters (Å, degrees): 3.765 3.765 4.088 90.00 90.00 90.00
Atoms (fractional coordinates):
N1 0.000 0.000 0.000
Cu1 0.500 0.500 0.500
Ni1 0.500 0.000 0.000
Ni2 0.000 0.500 0.000
Mg1 0.000 0.000 0.500

Properties
Crystal system: tetragonal
Formation energy without anion corrections in eV per atom: -0.08

---

(2)
Density functional theory data (GGA-PBE) for a geometry-optimized Mo2OsRh structure.

Lattice parameters (Å, degrees): 7.011 7.011 5.642 51.59 51.59 90.00
Atoms (fractional coordinates):
Mo1 0.113 0.625 0.250
Mo2 0.637 0.125 0.250
Mo3 0.875 0.887 0.750
Mo4 0.375 0.363 0.750
Rh1 0.500 0.500 0.000
Rh2 0.250 0.750 0.500
Os1 0.000 0.000 0.000
Os2 0.750 0.250 0.500

Properties
Crystal system: tetragonal
Calculated formation energy in meV per atom: 661
Offset from the most stable computed form in kcal/mol of atoms: 16.97

---

(3)
Density functional theory data (GGA-PBE) for a geometry-optimized LaMnBe2 structure.

Lattice parameters (Å, degrees): 4.780 4.780 4.780 131.82 113.76 86.01
Last column: magnetic moment on the atom in μB.
Atoms (fractional coordinates):
Be1 0.838 0.338 0.500  -0.04
Be2 0.966 0.966 0.000  -0.05
Mn1 0.184 0.684 0.500  3.41
La1 0.512 0.512 0.000  0.02

Properties
Crystal system: orthorhombic
Calculated formation energy in meV per atom: 425
Offset from the most stable computed form in kcal/mol of atoms: 7.58

---

Total magnetization for the records above, in order: 0.0; 0.0; 3.5 μB per formula unit
Total energy for the records above, in order: -5.194; -9.400; -4.963 eV per atom